A plane-wave DFT calculation with PBE was carried out for Cs2UAgCl6 after structural relaxation.

The structure in POSCAR format:
```
Cs2UAgCl6
1.0
6.647 0.000 0.000
0.000 7.695 0.000
0.000 -3.848 6.664
Cl Cs U Ag
6 2 1 1
Direct
0.259 0.833 0.167
0.741 0.666 0.833
0.259 0.833 0.666
0.741 0.167 0.334
0.259 0.334 0.167
0.741 0.167 0.833
0.222 0.333 0.667
0.778 0.667 0.333
0.500 0.000 0.000
0.000 0.000 0.000
```

Summary:
Formation energy without anion corrections: -1.576 eV per atom